Material: MnCdMo2
Method: DFT, PBE
State: optimized geometry

abc: 4.1454 4.1454 7.5309
angles: 90.00 90.00 90.00
Space group I-4m2 (No. 119)
One atom of each set of equivalent atoms:
Mn 0.0000 0.0000 0.0000 [2 per cell]
Cd 0.0000 0.5000 0.2500 [2 per cell]
Mo 0.0000 0.0000 0.5000 [2 per cell]
Mo 0.0000 0.5000 0.7500 [2 per cell]

ΔH_f (0 K): 42.8 kJ per mole of atoms
V: 129.4 Å³ per cell
DOS(E_F): 0.77 states/eV per atom

Material: Ho4ZnTe3
Method: DFT, PBE
State: optimized geometry

abc: 8.8584 12.1856 4.1692
angles: 90.00 90.00 90.00
Space group Cmmm (No. 65)
One atom of each set of equivalent atoms:
Ho 0.0000 0.2360 0.0000 [4 per cell]
Ho 0.2292 0.0000 0.5000 [4 per cell]
Zn 0.0000 0.0000 0.0000 [2 per cell]
Te 0.0000 0.5000 0.0000 [2 per cell]
Te 0.2500 0.2500 0.5000 [4 per cell]

raw formation energy: -1.0348 eV/atom
V: 450.0 Å³ per cell
DOS(E_F): 0.40 states/eV per atom

Material: PmEr2AlAu4
Method: DFT, PBE
State: optimized geometry

abc: 4.9155 4.9155 25.3230
angles: 90.00 90.00 120.00
Space group R-3m (No. 166, hexagonal axes)
One atom of each set of equivalent atoms:
Pm 0.0000 0.0000 0.0000 [3 per cell]
Er 0.0000 0.0000 0.2406 [6 per cell]
Al 0.0000 0.0000 0.5000 [3 per cell]
Au 0.0000 0.0000 0.1229 [6 per cell]
Au 0.0000 0.0000 0.3908 [6 per cell]

ΔH_f (0 K): -72.2 kJ per mole of atoms
V: 529.9 Å³ per cell
DOS(E_F): 0.45 states/eV per atom

Material: Tb2CoSe
Method: DFT, PBE
State: optimized geometry

abc: 3.8835 3.8835 21.1673
angles: 90.00 90.00 120.00
Space group R-3m (No. 166, hexagonal axes)
One atom of each set of equivalent atoms:
Tb 0.0000 0.0000 0.2417 [6 per cell]
Co 0.0000 0.0000 0.5000 [3 per cell]
Se 0.0000 0.0000 0.0000 [3 per cell]

raw formation energy: -0.8467 eV/atom
V: 276.5 Å³ per cell
polymorph energy (0 for the lowest one): 123 meV/atom
DOS(E_F): 0.55 states/eV per atom